P) Density functional theory data (PBE-GGA) for an optimized crystal structure of Mg2Zn2Cu.

```
data_Mg2Zn2Cu
_cell_length_a 4.4079
_cell_length_b 13.6685
_cell_length_c 5.5781
_cell_angle_alpha 90.00
_cell_angle_beta 90.00
_cell_angle_gamma 90.00
_symmetry_space_group_name_H-M 'C m c 21'
_symmetry_Int_Tables_number 36
_symmetry_space_group_name_Hall 'C 2c -2'
loop_
_atom_site_label
_atom_site_type_symbol
_atom_site_fract_x
_atom_site_fract_y
_atom_site_fract_z
_atom_site_occupancy
Mg1 Mg 0.0000 0.0696 0.0000 1
Mg2 Mg 0.0000 0.3280 0.2140 1
Zn1 Zn 0.0000 0.2878 0.7179 1
Zn2 Zn 0.0000 0.4655 0.8308 1
Cu1 Cu 0.0000 0.1416 0.4443 1
```

=====

Q) Density functional theory data (PBE-GGA) for an optimized crystal structure of Mg2Zn2Cu.

```
data_Mg2Zn2Cu
_cell_length_a 7.3501
_cell_length_b 7.3501
_cell_length_c 3.3512
_cell_angle_alpha 90.00
_cell_angle_beta 90.00
_cell_angle_gamma 90.00
_symmetry_space_group_name_H-M 'P 4/m b m'
_symmetry_Int_Tables_number 127
_symmetry_space_group_name_Hall '-P 4 2ab'
loop_
_atom_site_label
_atom_site_type_symbol
_atom_site_fract_x
_atom_site_fract_y
_atom_site_fract_z
_atom_site_occupancy
Mg1 Mg 0.1656 0.3344 0.0000 1
Zn1 Zn 0.1338 0.6338 0.5000 1
Cu1 Cu 0.0000 0.0000 0.0000 1
```

=====

R) Density functional theory data (PBE-GGA) for an optimized crystal structure of Mg2Zn2Cu.

```
data_Mg2Zn2Cu
_cell_length_a 4.4922
_cell_length_b 4.4922
_cell_length_c 14.0496
_cell_angle_alpha 90.00
_cell_angle_beta 90.00
_cell_angle_gamma 120.00
_symmetry_space_group_name_H-M 'R -3 m'
_symmetry_Int_Tables_number 166
_symmetry_space_group_name_Hall '-R 3 2"'
loop_
_atom_site_label
_atom_site_type_symbol
_atom_site_fract_x
_atom_site_fract_y
_atom_site_fract_z
_atom_site_occupancy
Mg1 Mg 0.0000 0.0000 0.1078 1
Zn1 Zn 0.0000 0.0000 0.3189 1
Cu1 Cu 0.0000 0.0000 0.5000 1
```

=====

Result of the stability comparison: Q) is the least stable of them.

=====

P) Density functional theory data (PBE-GGA) for an optimized crystal structure of Mg2Zn2Cu.

```
data_Mg2Zn2Cu
_cell_length_a 3.4690
_cell_length_b 3.4690
_cell_length_c 15.3638
_cell_angle_alpha 90.00
_cell_angle_beta 90.00
_cell_angle_gamma 90.00
_symmetry_space_group_name_H-M 'I 4/m m m'
_symmetry_Int_Tables_number 139
_symmetry_space_group_name_Hall '-I 4 2'
loop_
_atom_site_label
_atom_site_type_symbol
_atom_site_fract_x
_atom_site_fract_y
_atom_site_fract_z
_atom_site_occupancy
Mg1 Mg 0.0000 0.0000 0.0945 1
Zn1 Zn 0.0000 0.5000 0.2500 1
Cu1 Cu 0.0000 0.0000 0.5000 1
```

=====

Q) Density functional theory data (PBE-GGA) for an optimized crystal structure of Mg2Zn2Cu.

```
data_Mg2Zn2Cu
_cell_length_a 4.2453
_cell_length_b 5.1214
_cell_length_c 7.9588
_cell_angle_alpha 90.00
_cell_angle_beta 90.00
_cell_angle_gamma 90.00
_symmetry_space_group_name_H-M 'I m m m'
_symmetry_Int_Tables_number 71
_symmetry_space_group_name_Hall '-I 2 2'
loop_
_atom_site_label
_atom_site_type_symbol
_atom_site_fract_x
_atom_site_fract_y
_atom_site_fract_z
_atom_site_occupancy
Mg1 Mg 0.0000 0.0000 0.1893 1
Zn1 Zn 0.0000 0.2556 0.5000 1
Cu1 Cu 0.0000 0.5000 0.0000 1
```

=====

Result of the stability comparison: P) is the least stable of them.

=====

P) Density functional theory data (PBE-GGA) for an optimized crystal structure of Mg2Zn2Cu.

```
data_Mg2Zn2Cu
_cell_length_a 4.3381
_cell_length_b 5.2654
_cell_length_c 7.6896
_cell_angle_alpha 90.00
_cell_angle_beta 106.31
_cell_angle_gamma 90.00
_symmetry_space_group_name_H-M 'P 1 21 1'
_symmetry_Int_Tables_number 4
_symmetry_space_group_name_Hall 'P 2yb'
loop_
_atom_site_label
_atom_site_type_symbol
_atom_site_fract_x
_atom_site_fract_y
_atom_site_fract_z
_atom_site_occupancy
Mg1 Mg 0.0703 0.0000 0.1408 1
Mg2 Mg 0.2752 0.7531 0.5514 1
Zn1 Zn 0.3543 0.2409 0.7070 1
Zn2 Zn 0.4619 0.8399 0.9231 1
Cu1 Cu 0.1221 0.4868 0.2462 1
```

=====

Q) Density functional theory data (PBE-GGA) for an optimized crystal structure of Mg2Zn2Cu.

```
data_Mg2Zn2Cu
_cell_length_a 5.5245
_cell_length_b 12.4041
_cell_length_c 4.9671
_cell_angle_alpha 90.00
_cell_angle_beta 90.00
_cell_angle_gamma 90.00
_symmetry_space_group_name_H-M 'I b a m'
_symmetry_Int_Tables_number 72
_symmetry_space_group_name_Hall '-I 2 2c'
loop_
_atom_site_label
_atom_site_type_symbol
_atom_site_fract_x
_atom_site_fract_y
_atom_site_fract_z
_atom_site_occupancy
Mg1 Mg 0.1751 0.1788 0.0000 1
Zn1 Zn 0.1447 0.4132 0.0000 1
Cu1 Cu 0.0000 0.0000 0.2500 1
```

=====

Result of the stability comparison: Q) is the least stable of them.

=====

P) Density functional theory data (PBE-GGA) for an optimized crystal structure of Mg2Zn2Cu.

```
data_Mg2Zn2Cu
_cell_length_a 6.3747
_cell_length_b 6.3747
_cell_length_c 4.3235
_cell_angle_alpha 90.00
_cell_angle_beta 90.00
_cell_angle_gamma 90.00
_symmetry_space_group_name_H-M 'P 4/m b m'
_symmetry_Int_Tables_number 127
_symmetry_space_group_name_Hall '-P 4 2ab'
loop_
_atom_site_label
_atom_site_type_symbol
_atom_site_fract_x
_atom_site_fract_y
_atom_site_fract_z
_atom_site_occupancy
Mg1 Mg 0.1720 0.3280 0.0000 1
Zn1 Zn 0.1387 0.6387 0.5000 1
Cu1 Cu 0.0000 0.0000 0.5000 1
```

=====

Q) Density functional theory data (PBE-GGA) for an optimized crystal structure of Mg2Zn2Cu.

```
data_Mg2Zn2Cu
_cell_length_a 3.7525
_cell_length_b 3.7525
_cell_length_c 13.7605
_cell_angle_alpha 90.00
_cell_angle_beta 90.00
_cell_angle_gamma 90.00
_symmetry_space_group_name_H-M 'P 4/n m m'
_symmetry_Int_Tables_number 129
loop_
_symmetry_equiv_pos_as_xyz
'x,y,z'
'-x,-y,-z'
'-y+1/2,x,z'
'y+1/2,-x,-z'
'-x+1/2,-y+1/2,z'
'x+1/2,y+1/2,-z'
'y,-x+1/2,z'
'-y,x+1/2,-z'
'x+1/2,-y,-z'
'-x+1/2,y,z'
'-y,-x,-z'
'y,x,z'
'-x,y+1/2,-z'
'x,-y+1/2,z'
'y+1/2,x+1/2,-z'
'-y+1/2,-x+1/2,z'
loop_
_atom_site_label
_atom_site_type_symbol
_atom_site_fract_x
_atom_site_fract_y
_atom_site_fract_z
_atom_site_occupancy
Mg1 Mg 0.2500 0.2500 0.1602 1
Mg2 Mg 0.2500 0.7500 0.5000 1
Zn1 Zn 0.2500 0.2500 0.3494 1
Zn2 Zn 0.2500 0.7500 0.0000 1
Cu1 Cu 0.2500 0.2500 0.6604 1
```

=====

Result of the stability comparison: Q) is the least stable of them.

=====

P) Density functional theory data (PBE-GGA) for an optimized crystal structure of Mg2Zn2Cu.

```
data_Mg2Zn2Cu
_cell_length_a 4.3041
_cell_length_b 3.3070
_cell_length_c 11.7681
_cell_angle_alpha 90.00
_cell_angle_beta 90.60
_cell_angle_gamma 90.00
_symmetry_space_group_name_H-M 'P 1 21/m 1'
_symmetry_Int_Tables_number 11
_symmetry_space_group_name_Hall '-P 2yb'
loop_
_atom_site_label
_atom_site_type_symbol
_atom_site_fract_x
_atom_site_fract_y
_atom_site_fract_z
_atom_site_occupancy
Mg1 Mg 0.2441 0.2500 0.1887 1
Mg2 Mg 0.2487 0.7500 0.4219 1
Zn1 Zn 0.2502 0.7500 0.9951 1
Zn2 Zn 0.2528 0.7500 0.6616 1
Cu1 Cu 0.2569 0.2500 0.8311 1
```

=====

Q) Density functional theory data (PBE-GGA) for an optimized crystal structure of Mg2Zn2Cu.

```
data_Mg2Zn2Cu
_cell_length_a 5.3578
_cell_length_b 2.8537
_cell_length_c 11.6215
_cell_angle_alpha 90.00
_cell_angle_beta 99.81
_cell_angle_gamma 90.00
_symmetry_space_group_name_H-M 'P 1 21/m 1'
_symmetry_Int_Tables_number 11
_symmetry_space_group_name_Hall '-P 2yb'
loop_
_atom_site_label
_atom_site_type_symbol
_atom_site_fract_x
_atom_site_fract_y
_atom_site_fract_z
_atom_site_occupancy
Mg1 Mg 0.1189 0.2500 0.3404 1
Mg2 Mg 0.1828 0.7500 0.9227 1
Zn1 Zn 0.3365 0.7500 0.5526 1
Zn2 Zn 0.3404 0.2500 0.1369 1
Cu1 Cu 0.3275 0.2500 0.7345 1
```

=====

Result of the stability comparison: Q) is the least stable of them.

=====

P) Density functional theory data (PBE-GGA) for an optimized crystal structure of Mg2Zn2Cu.

```
data_Mg2Zn2Cu
_cell_length_a 9.2154
_cell_length_b 5.3911
_cell_length_c 7.1525
_cell_angle_alpha 90.00
_cell_angle_beta 109.59
_cell_angle_gamma 90.00
_symmetry_space_group_name_H-M 'C 1 2/c 1'
_symmetry_Int_Tables_number 15
_symmetry_space_group_name_Hall '-C 2yc'
loop_
_atom_site_label
_atom_site_type_symbol
_atom_site_fract_x
_atom_site_fract_y
_atom_site_fract_z
_atom_site_occupancy
Mg1 Mg 0.1652 0.1165 0.1372 1
Zn1 Zn 0.1139 0.3636 0.4750 1
Cu1 Cu 0.0000 0.2691 0.7500 1
```

=====

Q) Density functional theory data (PBE-GGA) for an optimized crystal structure of Mg2Zn2Cu.

```
data_Mg2Zn2Cu
_cell_length_a 8.0236
_cell_length_b 6.4852
_cell_length_c 7.2820
_cell_angle_alpha 90.00
_cell_angle_beta 90.00
_cell_angle_gamma 90.00
_symmetry_space_group_name_H-M 'C m c m'
_symmetry_Int_Tables_number 63
_symmetry_space_group_name_Hall '-C 2c 2'
loop_
_atom_site_label
_atom_site_type_symbol
_atom_site_fract_x
_atom_site_fract_y
_atom_site_fract_z
_atom_site_occupancy
Mg1 Mg 0.1915 0.0000 0.0000 1
Zn1 Zn 0.0000 0.3337 0.0867 1
Cu1 Cu 0.0000 0.2998 0.7500 1
```

=====

Result of the stability comparison: Q) is the least stable of them.

=====

P) Density functional theory data (PBE-GGA) for an optimized crystal structure of MgZn3Cu2.

```
data_MgZn3Cu2
_cell_length_a 4.9514
_cell_length_b 4.9514
_cell_length_c 8.7613
_cell_angle_alpha 90.00
_cell_angle_beta 90.00
_cell_angle_gamma 120.00
_symmetry_space_group_name_H-M 'P 63/m m c'
_symmetry_Int_Tables_number 194
_symmetry_space_group_name_Hall '-P 6c 2c'
loop_
_atom_site_label
_atom_site_type_symbol
_atom_site_fract_x
_atom_site_fract_y
_atom_site_fract_z
_atom_site_occupancy
Mg1 Mg 0.0000 0.0000 0.0000 1
Zn1 Zn 0.1703 0.3406 0.2500 1
Cu1 Cu 0.3333 0.6667 0.5177 1
```

=====

Q) Density functional theory data (PBE-GGA) for an optimized crystal structure of MgZn3Cu2.

```
data_MgZn3Cu2
_cell_length_a 5.5443
_cell_length_b 5.5443
_cell_length_c 19.5871
_cell_angle_alpha 90.00
_cell_angle_beta 90.00
_cell_angle_gamma 120.00
_symmetry_space_group_name_H-M 'R -3 m'
_symmetry_Int_Tables_number 166
_symmetry_space_group_name_Hall '-R 3 2"'
loop_
_atom_site_label
_atom_site_type_symbol
_atom_site_fract_x
_atom_site_fract_y
_atom_site_fract_z
_atom_site_occupancy
Mg1 Mg 0.0000 0.0000 0.2218 1
Zn1 Zn 0.0060 0.5030 0.2280 1
Cu1 Cu 0.0000 0.0000 0.0000 1
Cu2 Cu 0.0000 0.5000 0.0000 1
```

=====

R) Density functional theory data (PBE-GGA) for an optimized crystal structure of MgZn3Cu2.

```
data_MgZn3Cu2
_cell_length_a 8.7859
_cell_length_b 8.4528
_cell_length_c 5.0264
_cell_angle_alpha 90.00
_cell_angle_beta 90.00
_cell_angle_gamma 90.00
_symmetry_space_group_name_H-M 'C m c m'
_symmetry_Int_Tables_number 63
_symmetry_space_group_name_Hall '-C 2c 2'
loop_
_atom_site_label
_atom_site_type_symbol
_atom_site_fract_x
_atom_site_fract_y
_atom_site_fract_z
_atom_site_occupancy
Mg1 Mg 0.0000 0.1187 0.2500 1
Zn1 Zn 0.0000 0.4720 0.2500 1
Zn2 Zn 0.1723 0.2460 0.7500 1
Cu1 Cu 0.2490 0.5000 0.0000 1
```

=====

S) Density functional theory data (PBE-GGA) for an optimized crystal structure of MgZn3Cu2.

```
data_MgZn3Cu2
_cell_length_a 6.2024
_cell_length_b 12.6238
_cell_length_c 4.7911
_cell_angle_alpha 90.00
_cell_angle_beta 90.00
_cell_angle_gamma 90.00
_symmetry_space_group_name_H-M 'C m c m'
_symmetry_Int_Tables_number 63
_symmetry_space_group_name_Hall '-C 2c 2'
loop_
_atom_site_label
_atom_site_type_symbol
_atom_site_fract_x
_atom_site_fract_y
_atom_site_fract_z
_atom_site_occupancy
Mg1 Mg 0.0000 0.1212 0.2500 1
Zn1 Zn 0.0000 0.3430 0.7500 1
Zn2 Zn 0.2406 0.3226 0.2500 1
Cu1 Cu 0.2004 0.5000 0.0000 1
```

=====

Result of the stability comparison: P) is the least stable of them.

=====

P) Density functional theory data (PBE-GGA) for an optimized crystal structure of MgZn3Cu2.

```
data_MgZn3Cu2
_cell_length_a 4.2632
_cell_length_b 4.2632
_cell_length_c 11.2297
_cell_angle_alpha 90.00
_cell_angle_beta 90.00
_cell_angle_gamma 120.00
_symmetry_space_group_name_H-M 'P 63/m m c'
_symmetry_Int_Tables_number 194
_symmetry_space_group_name_Hall '-P 6c 2c'
loop_
_atom_site_label
_atom_site_type_symbol
_atom_site_fract_x
_atom_site_fract_y
_atom_site_fract_z
_atom_site_occupancy
Mg1 Mg 0.0000 0.0000 0.2500 1
Zn1 Zn 0.0000 0.0000 0.0000 1
Zn2 Zn 0.3333 0.6667 0.1070 1
Cu1 Cu 0.3333 0.6667 0.6302 1
```

=====

Q) Density functional theory data (PBE-GGA) for an optimized crystal structure of MgZn3Cu2.

```
data_MgZn3Cu2
_cell_length_a 4.9114
_cell_length_b 4.9114
_cell_length_c 13.4685
_cell_angle_alpha 90.00
_cell_angle_beta 90.00
_cell_angle_gamma 120.00
_symmetry_space_group_name_H-M 'R -3 m'
_symmetry_Int_Tables_number 166
_symmetry_space_group_name_Hall '-R 3 2"'
loop_
_atom_site_label
_atom_site_type_symbol
_atom_site_fract_x
_atom_site_fract_y
_atom_site_fract_z
_atom_site_occupancy
Mg1 Mg 0.0000 0.0000 0.0000 1
Zn1 Zn 0.0000 0.5000 0.5000 1
Cu1 Cu 0.0000 0.0000 0.4001 1
```

=====

Result of the stability comparison: Q) is the least stable of them.

=====

P) Density functional theory data (PBE-GGA) for an optimized crystal structure of MgZn2Cu3.

```
data_MgZn2Cu3
_cell_length_a 5.1908
_cell_length_b 5.1908
_cell_length_c 4.1118
_cell_angle_alpha 90.00
_cell_angle_beta 90.00
_cell_angle_gamma 120.00
_symmetry_space_group_name_H-M 'P 6/m m m'
_symmetry_Int_Tables_number 191
_symmetry_space_group_name_Hall '-P 6 2'
loop_
_atom_site_label
_atom_site_type_symbol
_atom_site_fract_x
_atom_site_fract_y
_atom_site_fract_z
_atom_site_occupancy
Mg1 Mg 0.0000 0.0000 0.0000 1
Zn1 Zn 0.3333 0.6667 0.5000 1
Cu1 Cu 0.0000 0.5000 0.0000 1
```

=====

Q) Density functional theory data (PBE-GGA) for an optimized crystal structure of MgZn2Cu3.

```
data_MgZn2Cu3
_cell_length_a 5.0102
_cell_length_b 5.0102
_cell_length_c 7.8846
_cell_angle_alpha 90.00
_cell_angle_beta 90.00
_cell_angle_gamma 120.00
_symmetry_space_group_name_H-M 'P 63/m m c'
_symmetry_Int_Tables_number 194
_symmetry_space_group_name_Hall '-P 6c 2c'
loop_
_atom_site_label
_atom_site_type_symbol
_atom_site_fract_x
_atom_site_fract_y
_atom_site_fract_z
_atom_site_occupancy
Mg1 Mg 0.0000 0.0000 0.0000 1
Zn1 Zn 0.3333 0.6667 0.0731 1
Cu1 Cu 0.1741 0.3483 0.7500 1
```

=====

R) Density functional theory data (PBE-GGA) for an optimized crystal structure of MgZn2Cu3.

```
data_MgZn2Cu3
_cell_length_a 4.9309
_cell_length_b 4.9309
_cell_length_c 12.5713
_cell_angle_alpha 90.00
_cell_angle_beta 90.00
_cell_angle_gamma 120.00
_symmetry_space_group_name_H-M 'R -3 m'
_symmetry_Int_Tables_number 166
_symmetry_space_group_name_Hall '-R 3 2"'
loop_
_atom_site_label
_atom_site_type_symbol
_atom_site_fract_x
_atom_site_fract_y
_atom_site_fract_z
_atom_site_occupancy
Mg1 Mg 0.0000 0.0000 0.0000 1
Zn1 Zn 0.0000 0.0000 0.3897 1
Cu1 Cu 0.0000 0.5000 0.5000 1
```

=====

Result of the stability comparison: R) is the least stable of them.